[1]
Below is a relaxed structure of Sr2TeAs, with properties calculated at the GGA-PBE level.

Structure (POSCAR):
```
Sr2TeAs
1.0
-4.249 4.249 3.842
4.249 -4.249 3.842
4.249 4.249 -3.842
Sr Te As
4 2 2
Direct
0.102 0.625 0.977
0.375 0.352 0.477
0.648 0.125 0.023
0.875 0.898 0.523
0.250 0.750 0.500
0.500 0.500 0.000
0.000 0.000 0.000
0.750 0.250 0.500
```

Final energy in eV/f.u.: -15.350
Symmetry: I-42d (122)
E above lowest polymorph in eV/atom: 0.179

=====

[2]
Below is a relaxed structure of SrTe2As, with properties calculated at the GGA-PBE level.

Structure (POSCAR):
```
SrTe2As
1.0
2.285 1.319 7.271
-2.285 1.319 7.271
0.000 -2.638 7.271
Sr Te As
1 2 1
Direct
0.000 0.000 0.000
0.245 0.245 0.245
0.480 0.480 0.480
0.762 0.762 0.762
```

Final energy in eV/f.u.: -14.554
Symmetry: R3m (160)

=====

| no. | E_form (uncorrected) (eV per atom) |
| --- | --- |
| 1 | -1.049 |
| 2 | -0.485 |